Entry 1:
A plane-wave DFT calculation with SCAN was carried out for CoAs2SeN at its PBEsol-relaxed geometry.

Computed properties:
The value obtained for the uncorrected formation energy is 1.05 eV per atom.

Unit cell a=4.1210 b=4.2213 c=4.2213 alpha=90.00 beta=90.00 gamma=90.00
Positions (direct):
As (0.0000, 0.0000, 0.5000)
As (0.0000, 0.5000, 0.0000)
Co (0.5000, 0.5000, 0.5000)
Se (0.5000, 0.0000, 0.0000)
N (0.0000, 0.0000, 0.0000)

Entry 2:
A plane-wave DFT calculation with SCAN was carried out for CoTe2AsN at its PBEsol-relaxed geometry.

Computed properties:
The value obtained for the uncorrected formation energy is 0.40 eV per atom.

Unit cell a=3.3728 b=5.2210 c=5.2210 alpha=90.00 beta=90.00 gamma=90.00
Positions (direct):
As (0.5000, 0.5000, 0.5000)
Te (0.0000, 0.0000, 0.5000)
Te (0.0000, 0.5000, 0.0000)
Co (0.0000, 0.0000, 0.0000)
N (0.5000, 0.0000, 0.0000)

Entry 3:
A plane-wave DFT calculation with SCAN was carried out for NaCo2As3O10 at its PBEsol-relaxed geometry.

Computed properties:
The value obtained for the uncorrected formation energy is -1.40 eV per atom.

Unit cell a=6.7309 b=7.7489 c=8.8473 alpha=110.66 beta=108.71 gamma=96.89
Positions (direct):
Na (0.2600, 0.2814, 0.4538)
Na (0.7400, 0.7186, 0.5462)
As (0.9924, 0.6246, 0.2066)
As (0.0076, 0.3754, 0.7934)
As (0.5494, 0.7397, 0.8355)
As (0.4506, 0.2603, 0.1645)
As (0.2393, 0.9282, 0.6289)
As (0.7607, 0.0718, 0.3711)
Co (0.8922, 0.1665, 0.0626)
Co (0.1078, 0.8335, 0.9374)
Co (0.5494, 0.3557, 0.8764)
Co (0.4506, 0.6443, 0.1236)
O (0.1583, 0.7056, 0.1195)
O (0.8417, 0.2944, 0.8805)
O (0.4251, 0.8075, 0.9818)
O (0.5749, 0.1925, 0.0182)
O (0.7275, 0.6119, 0.0837)
O (0.2725, 0.3881, 0.9163)
O (0.3904, 0.1268, 0.6434)
O (0.6096, 0.8732, 0.3566)
O (0.3993, 0.7643, 0.6370)
O (0.6007, 0.2357, 0.3630)
O (0.5190, 0.5021, 0.7305)
O (0.4810, 0.4979, 0.2695)
O (0.0208, 0.4305, 0.2501)
O (0.9792, 0.5695, 0.7499)
O (0.0908, 0.9307, 0.7499)
O (0.9092, 0.0693, 0.2501)
O (0.7996, 0.8855, 0.8932)
O (0.2004, 0.1145, 0.1068)
O (0.0333, 0.8094, 0.4139)
O (0.9667, 0.1906, 0.5861)

Entry 4:
A plane-wave DFT calculation with SCAN was carried out for NbCoAs2 at its PBEsol-relaxed geometry.

Computed properties:
As for the formation energy: 0.04 eV per atom.

Unit cell a=6.5481 b=5.4896 c=6.5481 alpha=53.39 beta=90.00 gamma=126.61
Positions (direct):
Nb (0.7500, 0.5000, 0.7500)
Nb (0.0000, 0.0000, 0.0000)
Co (0.2500, 0.5000, 0.2500)
Co (0.5000, 0.0000, 0.5000)
As (0.1766, 0.7500, 0.8750)
As (0.5734, 0.7500, 0.3750)
As (0.3750, 0.2500, 0.1766)
As (0.8750, 0.2500, 0.5734)

Entry 5:
A plane-wave DFT calculation with SCAN was carried out for Nb3CoAs at its PBEsol-relaxed geometry.

Computed properties:
As for the formation energy: 0.91 eV per atom.

Unit cell a=4.6683 b=4.6683 c=4.6683 alpha=90.00 beta=90.00 gamma=90.00
Positions (direct):
Nb (0.0000, 0.5000, 0.0000)
Nb (0.0000, 0.0000, 0.5000)
Nb (0.5000, 0.0000, 0.0000)
Co (0.5000, 0.5000, 0.5000)
As (0.0000, 0.0000, 0.0000)

Entry 6:
A plane-wave DFT calculation with SCAN was carried out for NbCoAs3 at its PBEsol-relaxed geometry.

Computed properties:
As for the formation energy: 0.85 eV per atom.

Unit cell a=4.9034 b=4.9034 c=4.9034 alpha=90.00 beta=90.00 gamma=90.00
Positions (direct):
Nb (0.0000, 0.0000, 0.0000)
Co (0.5000, 0.5000, 0.5000)
As (0.0000, 0.5000, 0.0000)
As (0.0000, 0.0000, 0.5000)
As (0.5000, 0.0000, 0.0000)

Entry 7:
A plane-wave DFT calculation with SCAN was carried out for NbCoAsSe2 at its PBEsol-relaxed geometry.

Computed properties:
The value obtained for the uncorrected formation energy is 0.57 eV per atom.

Unit cell a=4.9175 b=4.9175 c=4.9981 alpha=90.00 beta=90.00 gamma=90.00
Positions (direct):
Nb (0.0000, 0.0000, 0.0000)
Co (0.5000, 0.5000, 0.5000)
As (0.0000, 0.0000, 0.5000)
Se (0.0000, 0.5000, 0.0000)
Se (0.5000, 0.0000, 0.0000)

Entry 8:
A plane-wave DFT calculation with SCAN was carried out for CoNiAs at its PBEsol-relaxed geometry.

Computed properties:
As for the formation energy: 0.01 eV per atom.

Unit cell a=2.8307 b=3.8053 c=3.8053 alpha=120.00 beta=90.00 gamma=90.00
Positions (direct):
Ni (0.2696, 0.6667, 0.3333)
As (0.9693, 0.0000, 0.0000)
Co (0.7611, 0.3333, 0.6667)